First-principles (PBE) data for a geometry-optimized La14AlBi structure, as listed in the Alexandria database.

abc: 7.217 7.217 10.466
angles: 90.00 90.00 90.00
Element x y z (fractional)
1 La 0.000 0.000 0.000
2 La 0.000 0.500 0.000
3 La 0.000 0.500 0.500
4 La 0.245 0.245 0.260
5 La 0.245 0.245 0.740
6 La 0.245 0.755 0.260
7 La 0.245 0.755 0.740
8 La 0.500 0.000 0.000
9 La 0.500 0.000 0.500
10 La 0.500 0.500 0.000
11 La 0.755 0.245 0.260
12 La 0.755 0.245 0.740
13 La 0.755 0.755 0.260
14 La 0.755 0.755 0.740
15 Al 0.000 0.000 0.500
16 Bi 0.500 0.500 0.500

Summary:
Calculated formation energy = -0.15 eV per atom